(1)
Material: Ac2DyLu
Method: DFT, PBE-GGA
State: relaxed

```
4
Lattice="0.000 4.211 4.211 4.211 0.000 4.211 4.211 4.211 0.000" Properties=species:S:1:pos:R:3 pbc="T T T"
Ac 2.105 2.105 2.105
Ac 6.316 6.316 6.316
Dy 0.000 0.000 0.000
Lu 4.211 4.211 4.211
```

Results
**ΔE to the lowest computed polymorph**: 30 meV per atom

***

(2)
Material: AcDyLu
Method: DFT, PBE-GGA
State: relaxed

```
3
Lattice="-1.854 1.854 7.616 1.854 -1.854 7.616 1.854 1.854 -7.616" Properties=species:S:1:pos:R:3 pbc="T T T"
Ac 0.000 0.000 0.000
Dy 0.000 0.000 10.281
Lu 0.000 0.000 4.990
```

Results
**Total energy**: -4.334 eV per atom

***

(3)
Material: Ac2DyLu
Method: DFT, PBE-GGA
State: relaxed

```
4
Lattice="3.892 0.000 0.000 0.000 3.892 0.000 0.000 0.000 9.776" Properties=species:S:1:pos:R:3 pbc="T T T"
Ac 0.000 0.000 2.405
Ac 0.000 0.000 7.371
Dy 1.946 1.946 4.888
Lu 1.946 1.946 0.000
```

Results
**ΔE to the lowest computed polymorph**: 0 meV per atom

***

(4)
Material: AcDyLu
Method: DFT, PBE-GGA
State: relaxed

```
3
Lattice="3.700 0.000 0.000 -1.850 3.204 0.000 0.000 0.000 8.805" Properties=species:S:1:pos:R:3 pbc="T T T"
Ac 0.000 0.000 0.000
Dy 0.000 2.136 5.740
Lu 1.850 1.068 2.995
```

Results
**Total energy**: -4.336 eV per atom

***

(5)
Material: Ac2DyLu
Method: DFT, PBE-GGA
State: relaxed

```
4
Lattice="1.840 1.062 13.050 -1.840 1.062 13.050 0.000 -2.124 13.050" Properties=species:S:1:pos:R:3 pbc="T T T"
Ac 0.000 0.000 3.463
Ac 0.000 0.000 35.686
Dy 0.000 0.000 19.575
Lu 0.000 0.000 0.000
```

Results
**ΔE to the lowest computed polymorph**: 220 meV per atom

***

(6)
Material: AcNdDyLu
Method: DFT, PBE-GGA
State: relaxed

```
4
Lattice="0.000 4.131 4.131 4.131 0.000 4.131 4.131 4.131 0.000" Properties=species:S:1:pos:R:3 pbc="T T T"
Ac 0.000 0.000 0.000
Nd 4.131 4.131 4.131
Dy 6.196 6.196 6.196
Lu 2.065 2.065 2.065
```

Results
**Total energy**: -4.396 eV per atom

***

(7)
Material: AcDyLuPb
Method: DFT, PBE-GGA
State: relaxed

```
4
Lattice="0.000 3.946 3.946 3.946 0.000 3.946 3.946 3.946 0.000" Properties=species:S:1:pos:R:3 pbc="T T T"
Ac 0.000 0.000 0.000
Dy 5.920 5.920 5.920
Lu 1.973 1.973 1.973
Pb 3.946 3.946 3.946
```

Results
**Total energy**: -4.243 eV per atom

***

(8)
Material: AcPrDyLu
Method: DFT, PBE-GGA
State: relaxed

```
4
Lattice="0.000 4.142 4.142 4.142 0.000 4.142 4.142 4.142 0.000" Properties=species:S:1:pos:R:3 pbc="T T T"
Ac 0.000 0.000 0.000
Pr 6.213 6.213 6.213
Dy 2.071 2.071 2.071
Lu 4.142 4.142 4.142
```

Results
**Total energy**: -4.325 eV per atom

***

(9)
Material: AcDyLuSc
Method: DFT, PBE-GGA
State: relaxed

```
4
Lattice="0.000 4.008 4.008 4.008 0.000 4.008 4.008 4.008 0.000" Properties=species:S:1:pos:R:3 pbc="T T T"
Ac 0.000 0.000 0.000
Dy 4.008 4.008 4.008
Lu 2.004 2.004 2.004
Sc 6.013 6.013 6.013
```

Results
**Total energy**: -4.781 eV per atom

***

(10)
Material: AcDyLuSn
Method: DFT, PBE-GGA
State: relaxed

```
4
Lattice="0.000 3.900 3.900 3.900 0.000 3.900 3.900 3.900 0.000" Properties=species:S:1:pos:R:3 pbc="T T T"
Ac 0.000 0.000 0.000
Dy 1.950 1.950 1.950
Lu 5.849 5.849 5.849
Sn 3.900 3.900 3.900
```

Results
**Total energy**: -4.429 eV per atom